(1)
Compound: Zn2SbSe
Source: Alexandria via LeMat-Bulk
Functional: PBE
Structure: optimized geometry

```
data_Zn2SbSe
_space_group_name_H-M_alt 'P 1'
_space_group_IT_number 1
_space_group_name_Hall 'P 1'
_cell_length_a 3.794
_cell_length_b 4.079
_cell_length_c 6.847
_cell_angle_alpha 90.00
_cell_angle_beta 90.16
_cell_angle_gamma 90.00
loop_
_atom_site_label
_atom_site_fract_x
_atom_site_fract_y
_atom_site_fract_z
Zn1 0.000 0.000 0.000
Zn2 0.500 0.500 0.033
Sb1 0.999 0.500 0.731
Se1 0.502 0.000 0.250
```

Calculated density = 5.2 g/cm³
N(E_F) = 0.3 states/eV/cell
Raw formation energy = -0.188 eV/atom
Size of the total moment = 0.000 μB per cell
Electronic total energy = -2.73 eV per atom

***

(2)
Compound: ZnSbSe3
Source: Alexandria via LeMat-Bulk
Functional: PBE
Structure: optimized geometry

```
data_ZnSbSe3
_space_group_name_H-M_alt 'P 1'
_space_group_IT_number 1
_space_group_name_Hall 'P 1'
_cell_length_a 4.913
_cell_length_b 4.913
_cell_length_c 4.913
_cell_angle_alpha 90.00
_cell_angle_beta 90.00
_cell_angle_gamma 90.00
loop_
_atom_site_label
_atom_site_fract_x
_atom_site_fract_y
_atom_site_fract_z
Zn1 0.000 0.000 0.000
Sb1 0.500 0.500 0.500
Se1 0.000 0.000 0.500
Se2 0.000 0.500 0.000
Se3 0.500 0.000 0.000
```

Excess energy over the best structure of this formula in the dataset = 0 meV/atom
Calculated density = 5.9 g/cm³
N(E_F) = 3.7 states/eV/cell
Raw formation energy = 0.283 eV/atom
Size of the total moment = 0.000 μB per cell
Electronic total energy = -2.89 eV per atom

***

(3)
Compound: Zn2SbSe
Source: Alexandria via LeMat-Bulk
Functional: PBE
Structure: optimized geometry

```
data_Zn2SbSe
_space_group_name_H-M_alt 'P 1'
_space_group_IT_number 1
_space_group_name_Hall 'P 1'
_cell_length_a 4.794
_cell_length_b 4.794
_cell_length_c 3.739
_cell_angle_alpha 90.00
_cell_angle_beta 90.00
_cell_angle_gamma 103.41
loop_
_atom_site_label
_atom_site_fract_x
_atom_site_fract_y
_atom_site_fract_z
Zn1 0.000 0.500 0.000
Zn2 0.500 0.000 0.000
Sb1 0.000 0.000 0.500
Se1 0.500 0.500 0.500
```

Calculated density = 6.6 g/cm³
N(E_F) = 2.1 states/eV/cell
Raw formation energy = 0.157 eV/atom
Size of the total moment = 0.000 μB per cell
Electronic total energy = -2.38 eV per atom

***

(4)
Compound: Zn2SbSe
Source: Alexandria via LeMat-Bulk
Functional: PBE
Structure: optimized geometry

```
data_Zn2SbSe
_space_group_name_H-M_alt 'P 1'
_space_group_IT_number 1
_space_group_name_Hall 'P 1'
_cell_length_a 3.002
_cell_length_b 3.002
_cell_length_c 9.656
_cell_angle_alpha 90.00
_cell_angle_beta 90.00
_cell_angle_gamma 90.00
loop_
_atom_site_label
_atom_site_fract_x
_atom_site_fract_y
_atom_site_fract_z
Zn1 0.000 0.000 0.000
Zn2 0.500 0.500 0.190
Sb1 0.000 0.000 0.432
Se1 0.500 0.500 0.795
```

Calculated density = 6.3 g/cm³
N(E_F) = 2.2 states/eV/cell
Raw formation energy = 0.205 eV/atom
Size of the total moment = 0.000 μB per cell
Electronic total energy = -2.33 eV per atom

***

(5)
Compound: ZnSbSe2
Source: Alexandria via LeMat-Bulk
Functional: PBE
Structure: optimized geometry

```
data_ZnSbSe2
_space_group_name_H-M_alt 'P 1'
_space_group_IT_number 1
_space_group_name_Hall 'P 1'
_cell_length_a 6.207
_cell_length_b 6.207
_cell_length_c 5.166
_cell_angle_alpha 90.34
_cell_angle_beta 90.34
_cell_angle_gamma 36.30
loop_
_atom_site_label
_atom_site_fract_x
_atom_site_fract_y
_atom_site_fract_z
Zn1 0.000 0.000 0.000
Sb1 0.344 0.344 0.325
Se1 0.572 0.572 0.234
Se2 0.836 0.836 0.729
```

Excess energy over the best structure of this formula in the dataset = 49 meV/atom
Calculated density = 4.9 g/cm³
N(E_F) = 1.3 states/eV/cell
Raw formation energy = -0.186 eV/atom
Size of the total moment = 0.000 μB per cell
Electronic total energy = -3.28 eV per atom

***

(6)
Compound: ZnSbSe2
Source: Alexandria via LeMat-Bulk
Functional: PBE
Structure: optimized geometry

```
data_ZnSbSe2
_space_group_name_H-M_alt 'P 1'
_space_group_IT_number 1
_space_group_name_Hall 'P 1'
_cell_length_a 4.976
_cell_length_b 4.976
_cell_length_c 4.976
_cell_angle_alpha 60.00
_cell_angle_beta 60.00
_cell_angle_gamma 60.00
loop_
_atom_site_label
_atom_site_fract_x
_atom_site_fract_y
_atom_site_fract_z
Zn1 0.000 0.000 0.000
Sb1 0.750 0.750 0.750
Se1 0.250 0.250 0.250
Se2 0.500 0.500 0.500
```

Excess energy over the best structure of this formula in the dataset = 560 meV/atom
Calculated density = 6.6 g/cm³
N(E_F) = 3.1 states/eV/cell
Raw formation energy = 0.324 eV/atom
Size of the total moment = 0.000 μB per cell
Electronic total energy = -2.77 eV per atom

***

(7)
Compound: ZnSb3Se
Source: Alexandria via LeMat-Bulk
Functional: PBE
Structure: optimized geometry

```
data_ZnSb3Se
_space_group_name_H-M_alt 'P 1'
_space_group_IT_number 1
_space_group_name_Hall 'P 1'
_cell_length_a 5.445
_cell_length_b 5.445
_cell_length_c 5.445
_cell_angle_alpha 90.00
_cell_angle_beta 90.00
_cell_angle_gamma 90.00
loop_
_atom_site_label
_atom_site_fract_x
_atom_site_fract_y
_atom_site_fract_z
Zn1 0.000 0.000 0.000
Sb1 0.000 0.500 0.500
Sb2 0.500 0.000 0.500
Sb3 0.500 0.500 0.000
Se1 0.500 0.500 0.500
```

Calculated density = 5.2 g/cm³
N(E_F) = 5.2 states/eV/cell
Raw formation energy = 0.747 eV/atom
Size of the total moment = 0.000 μB per cell
Electronic total energy = -2.68 eV per atom

***

(8)
Compound: Zn2SbSe
Source: Alexandria via LeMat-Bulk
Functional: PBE
Structure: optimized geometry

```
data_Zn2SbSe
_space_group_name_H-M_alt 'P 1'
_space_group_IT_number 1
_space_group_name_Hall 'P 1'
_cell_length_a 7.281
_cell_length_b 7.281
_cell_length_c 7.281
_cell_angle_alpha 151.93
_cell_angle_beta 151.16
_cell_angle_gamma 40.68
loop_
_atom_site_label
_atom_site_fract_x
_atom_site_fract_y
_atom_site_fract_z
Zn1 0.000 0.000 0.000
Zn2 0.718 0.218 0.500
Sb1 0.386 0.386 0.000
Se1 0.141 0.641 0.500
```

Calculated density = 6.3 g/cm³
N(E_F) = 1.4 states/eV/cell
Raw formation energy = -0.003 eV/atom
Size of the total moment = 0.000 μB per cell
Electronic total energy = -2.54 eV per atom

***

(9)
Compound: Zn2SbSe
Source: Alexandria via LeMat-Bulk
Functional: PBE
Structure: optimized geometry

```
data_Zn2SbSe
_space_group_name_H-M_alt 'P 1'
_space_group_IT_number 1
_space_group_name_Hall 'P 1'
_cell_length_a 3.714
_cell_length_b 3.714
_cell_length_c 7.613
_cell_angle_alpha 90.00
_cell_angle_beta 90.00
_cell_angle_gamma 118.98
loop_
_atom_site_label
_atom_site_fract_x
_atom_site_fract_y
_atom_site_fract_z
Zn1 0.000 0.000 0.225
Zn2 0.000 0.000 0.775
Sb1 0.500 0.500 0.500
Se1 0.500 0.500 0.000
```

Calculated density = 6.0 g/cm³
N(E_F) = 1.4 states/eV/cell
Raw formation energy = 0.046 eV/atom
Size of the total moment = 0.000 μB per cell
Electronic total energy = -2.49 eV per atom

***

(10)
Compound: ZnSbSe2
Source: Alexandria via LeMat-Bulk
Functional: PBE
Structure: optimized geometry

```
data_ZnSbSe2
_space_group_name_H-M_alt 'P 1'
_space_group_IT_number 1
_space_group_name_Hall 'P 1'
_cell_length_a 7.290
_cell_length_b 7.290
_cell_length_c 7.290
_cell_angle_alpha 151.60
_cell_angle_beta 150.07
_cell_angle_gamma 41.73
loop_
_atom_site_label
_atom_site_fract_x
_atom_site_fract_y
_atom_site_fract_z
Zn1 0.000 0.000 0.000
Sb1 0.234 0.734 0.500
Se1 0.568 0.568 0.000
Se2 0.846 0.346 0.500
```

Excess energy over the best structure of this formula in the dataset = 157 meV/atom
Calculated density = 6.2 g/cm³
N(E_F) = 1.4 states/eV/cell
Raw formation energy = -0.079 eV/atom
Size of the total moment = 0.000 μB per cell
Electronic total energy = -3.17 eV per atom

***

(11)
Compound: Zn2SbSe2
Source: Alexandria via LeMat-Bulk
Functional: PBE
Structure: optimized geometry

```
data_Zn2SbSe2
_space_group_name_H-M_alt 'P 1'
_space_group_IT_number 1
_space_group_name_Hall 'P 1'
_cell_length_a 5.496
_cell_length_b 5.496
_cell_length_c 5.496
_cell_angle_alpha 124.44
_cell_angle_beta 124.44
_cell_angle_gamma 82.46
loop_
_atom_site_label
_atom_site_fract_x
_atom_site_fract_y
_atom_site_fract_z
Zn1 0.147 0.147 0.000
Zn2 0.853 0.853 0.000
Sb1 0.500 0.500 0.000
Se1 0.250 0.750 0.500
Se2 0.750 0.250 0.500
```

Calculated density = 6.3 g/cm³
N(E_F) = 2.2 states/eV/cell
Raw formation energy = 0.062 eV/atom
Size of the total moment = 0.000 μB per cell
Electronic total energy = -2.67 eV per atom

***

(12)
Compound: ZnSbSe2
Source: Alexandria via LeMat-Bulk
Functional: PBE
Structure: optimized geometry

```
data_ZnSbSe2
_space_group_name_H-M_alt 'P 1'
_space_group_IT_number 1
_space_group_name_Hall 'P 1'
_cell_length_a 7.966
_cell_length_b 7.966
_cell_length_c 7.966
_cell_angle_alpha 28.53
_cell_angle_beta 28.53
_cell_angle_gamma 28.53
loop_
_atom_site_label
_atom_site_fract_x
_atom_site_fract_y
_atom_site_fract_z
Zn1 0.000 0.000 0.000
Sb1 0.761 0.761 0.761
Se1 0.295 0.295 0.295
Se2 0.499 0.499 0.499
```

Excess energy over the best structure of this formula in the dataset = 25 meV/atom
Calculated density = 5.6 g/cm³
N(E_F) = 2.0 states/eV/cell
Raw formation energy = -0.211 eV/atom
Size of the total moment = 0.000 μB per cell
Electronic total energy = -3.30 eV per atom

***

Repeat the tenth record exactly.
Compound: ZnSbSe2
Source: Alexandria via LeMat-Bulk
Functional: PBE
Structure: optimized geometry

```
data_ZnSbSe2
_space_group_name_H-M_alt 'P 1'
_space_group_IT_number 1
_space_group_name_Hall 'P 1'
_cell_length_a 7.290
_cell_length_b 7.290
_cell_length_c 7.290
_cell_angle_alpha 151.60
_cell_angle_beta 150.07
_cell_angle_gamma 41.73
loop_
_atom_site_label
_atom_site_fract_x
_atom_site_fract_y
_atom_site_fract_z
Zn1 0.000 0.000 0.000
Sb1 0.234 0.734 0.500
Se1 0.568 0.568 0.000
Se2 0.846 0.346 0.500
```

Excess energy over the best structure of this formula in the dataset = 157 meV/atom
Calculated density = 6.2 g/cm³
N(E_F) = 1.4 states/eV/cell
Raw formation energy = -0.079 eV/atom
Size of the total moment = 0.000 μB per cell
Electronic total energy = -3.17 eV per atom